[1]
Material: Er5PSe4
Method: DFT, PBE
State: optimized geometry

Structure (CIF):
```
data_Er5PSe4
_chemical_formula_sum 'Er5 P1 Se4'
_cell_length_a 14.669
_cell_length_b 14.669
_cell_length_c 14.669
_cell_angle_alpha 164.31
_cell_angle_beta 164.31
_cell_angle_gamma 22.26
_space_group_name_H-M_alt 'P 1'
_space_group_IT_number 1
loop_
_space_group_symop_operation_xyz
'x,y,z'
loop_
_atom_site_label
_atom_site_fract_x
_atom_site_fract_y
_atom_site_fract_z
Er1 0.000 0.000 0.000
Er2 0.205 0.205 0.000
Er3 0.407 0.407 0.000
Er4 0.593 0.593 0.000
Er5 0.795 0.795 0.000
P1 0.500 0.500 0.000
Se1 0.102 0.102 0.000
Se2 0.305 0.305 0.000
Se3 0.695 0.695 0.000
Se4 0.898 0.898 0.000
```

Output
Total moment = 0.0000 μB/atom
Fermi-level density of states = 4.5 states/eV/f.u.
Calculated volume = 230.7 Å³/cell
Raw formation energy = -1716.5 meV/atom

***

[2]
Material: K3Tl4Sn2
Method: DFT, PBE
State: optimized geometry

Structure (CIF):
```
data_K3Tl4Sn2
_chemical_formula_sum 'K3 Tl4 Sn2'
_cell_length_a 7.186
_cell_length_b 7.186
_cell_length_c 10.101
_cell_angle_alpha 108.85
_cell_angle_beta 108.85
_cell_angle_gamma 42.37
_space_group_name_H-M_alt 'P 1'
_space_group_IT_number 1
loop_
_space_group_symop_operation_xyz
'x,y,z'
loop_
_atom_site_label
_atom_site_fract_x
_atom_site_fract_y
_atom_site_fract_z
K1 0.000 0.000 0.000
K2 0.379 0.379 0.629
K3 0.621 0.621 0.371
Tl1 0.079 0.079 0.663
Tl2 0.322 0.322 0.955
Tl3 0.678 0.678 0.045
Tl4 0.921 0.921 0.337
Sn1 0.286 0.286 0.245
Sn2 0.714 0.714 0.755
```

Output
Total moment = 0.0000 μB/atom
Fermi-level density of states = 3.7 states/eV/f.u.
Calculated volume = 329.7 Å³/cell
Polymorph energy (0 for the lowest one) = 0.0 meV/atom

***

[3]
Material: YMn4Br
Method: DFT, PBE
State: optimized geometry

Structure (CIF):
```
data_YMn4Br
_chemical_formula_sum 'Y1 Mn4 Br1'
_cell_length_a 5.452
_cell_length_b 5.452
_cell_length_c 5.452
_cell_angle_alpha 60.00
_cell_angle_beta 60.00
_cell_angle_gamma 60.00
_space_group_name_H-M_alt 'P 1'
_space_group_IT_number 1
loop_
_space_group_symop_operation_xyz
'x,y,z'
loop_
_atom_site_label
_atom_site_fract_x
_atom_site_fract_y
_atom_site_fract_z
Y1 0.000 0.000 0.000
Mn1 0.372 0.372 0.372
Mn2 0.372 0.372 0.884
Mn3 0.372 0.884 0.372
Mn4 0.884 0.372 0.372
Br1 0.750 0.750 0.750
```

Output
Total moment = 2.3287 μB/atom
Fermi-level density of states = 4.6 states/eV/f.u.
Calculated volume = 114.6 Å³/cell
Raw formation energy = 451.1 meV/atom

***

[4]
Material: Ba2PmBi3Pt4
Method: DFT, PBE
State: optimized geometry

Structure (CIF):
```
data_Ba2PmBi3Pt4
_chemical_formula_sum 'Ba2 Pm1 Bi3 Pt4'
_cell_length_a 4.900
_cell_length_b 4.900
_cell_length_c 11.532
_cell_angle_alpha 90.00
_cell_angle_beta 90.00
_cell_angle_gamma 90.00
_space_group_name_H-M_alt 'P 1'
_space_group_IT_number 1
loop_
_space_group_symop_operation_xyz
'x,y,z'
loop_
_atom_site_label
_atom_site_fract_x
_atom_site_fract_y
_atom_site_fract_z
Ba1 0.000 0.500 0.226
Ba2 0.500 0.000 0.774
Pm1 0.000 0.000 0.500
Bi1 0.000 0.500 0.881
Bi2 0.500 0.000 0.119
Bi3 0.500 0.500 0.500
Pt1 0.000 0.000 0.000
Pt2 0.000 0.500 0.639
Pt3 0.500 0.000 0.361
Pt4 0.500 0.500 0.000
```

Output
Total moment = 0.0000 μB/atom
Fermi-level density of states = 5.4 states/eV/f.u.
Calculated volume = 276.9 Å³/cell
VASP energy = -51.4 eV for the cell shown

***

[5]
Material: NaCa3Pt
Method: DFT, PBE
State: optimized geometry

Structure (CIF):
```
data_NaCa3Pt
_chemical_formula_sum 'Na2 Ca6 Pt2'
_cell_length_a 4.021
_cell_length_b 8.580
_cell_length_c 9.865
_cell_angle_alpha 99.25
_cell_angle_beta 100.99
_cell_angle_gamma 90.14
_space_group_name_H-M_alt 'P 1'
_space_group_IT_number 1
loop_
_space_group_symop_operation_xyz
'x,y,z'
loop_
_atom_site_label
_atom_site_fract_x
_atom_site_fract_y
_atom_site_fract_z
Na1 0.001 0.305 0.473
Na2 0.999 0.695 0.527
Ca1 0.209 0.846 0.913
Ca2 0.325 0.523 0.158
Ca3 0.393 0.923 0.304
Ca4 0.607 0.077 0.696
Ca5 0.675 0.477 0.842
Ca6 0.791 0.154 0.087
Pt1 0.201 0.233 0.897
Pt2 0.799 0.767 0.103
```

Output
Total moment = 0.0000 μB/atom
Fermi-level density of states = 3.1 states/eV/f.u.
Calculated volume = 329.6 Å³/cell
Polymorph energy (0 for the lowest one) = 10.1 meV/atom

***

[6]
Material: Ca2AcBiO6
Method: DFT, PBE
State: optimized geometry

Structure (CIF):
```
data_Ca2AcBiO6
_chemical_formula_sum 'Ca2 Ac1 Bi1 O6'
_cell_length_a 6.268
_cell_length_b 6.268
_cell_length_c 6.268
_cell_angle_alpha 56.91
_cell_angle_beta 56.91
_cell_angle_gamma 56.91
_space_group_name_H-M_alt 'P 1'
_space_group_IT_number 1
loop_
_space_group_symop_operation_xyz
'x,y,z'
loop_
_atom_site_label
_atom_site_fract_x
_atom_site_fract_y
_atom_site_fract_z
Ca1 0.000 0.000 0.000
Ca2 0.493 0.493 0.493
Ac1 0.219 0.219 0.219
Bi1 0.704 0.704 0.704
O1 0.068 0.435 0.807
O2 0.332 0.882 0.622
O3 0.435 0.807 0.068
O4 0.622 0.332 0.882
O5 0.807 0.068 0.435
O6 0.882 0.622 0.332
```

Output
Total moment = 0.0000 μB/atom
Fermi-level density of states = 0.0 states/eV/f.u.
Calculated volume = 161.8 Å³/cell
Raw formation energy = -2372.7 meV/atom

***

[7]
Material: TaP2Rh
Method: DFT, PBE
State: optimized geometry

Structure (CIF):
```
data_TaP2Rh
_chemical_formula_sum 'Ta1 P2 Rh1'
_cell_length_a 4.391
_cell_length_b 4.391
_cell_length_c 4.391
_cell_angle_alpha 60.00
_cell_angle_beta 60.00
_cell_angle_gamma 60.00
_space_group_name_H-M_alt 'P 1'
_space_group_IT_number 1
loop_
_space_group_symop_operation_xyz
'x,y,z'
loop_
_atom_site_label
_atom_site_fract_x
_atom_site_fract_y
_atom_site_fract_z
Ta1 0.000 0.000 0.000
P1 0.500 0.500 0.500
P2 0.750 0.750 0.750
Rh1 0.250 0.250 0.250
```

Output
Total moment = 0.0000 μB/atom
Fermi-level density of states = 1.6 states/eV/f.u.
Calculated volume = 59.9 Å³/cell
Polymorph energy (0 for the lowest one) = 605.2 meV/atom

***

[8]
Material: Li2CaTmGe2
Method: DFT, PBE
State: optimized geometry

Structure (CIF):
```
data_Li2CaTmGe2
_chemical_formula_sum 'Li2 Ca1 Tm1 Ge2'
_cell_length_a 4.473
_cell_length_b 4.473
_cell_length_c 7.210
_cell_angle_alpha 90.00
_cell_angle_beta 90.00
_cell_angle_gamma 120.00
_space_group_name_H-M_alt 'P 1'
_space_group_IT_number 1
loop_
_space_group_symop_operation_xyz
'x,y,z'
loop_
_atom_site_label
_atom_site_fract_x
_atom_site_fract_y
_atom_site_fract_z
Li1 0.333 0.667 0.224
Li2 0.667 0.333 0.776
Ca1 0.000 0.000 0.500
Tm1 0.000 0.000 0.000
Ge1 0.333 0.667 0.782
Ge2 0.667 0.333 0.218
```

Output
Total moment = 0.0000 μB/atom
Fermi-level density of states = 2.6 states/eV/f.u.
Calculated volume = 124.9 Å³/cell
VASP energy = -23.0 eV for the cell shown

***

[9]
Material: SrSiI2
Method: DFT, PBE
State: optimized geometry

Structure (CIF):
```
data_SrSiI2
_chemical_formula_sum 'Sr1 Si1 I2'
_cell_length_a 5.721
_cell_length_b 5.721
_cell_length_c 5.721
_cell_angle_alpha 60.00
_cell_angle_beta 60.00
_cell_angle_gamma 60.00
_space_group_name_H-M_alt 'P 1'
_space_group_IT_number 1
loop_
_space_group_symop_operation_xyz
'x,y,z'
loop_
_atom_site_label
_atom_site_fract_x
_atom_site_fract_y
_atom_site_fract_z
Sr1 0.000 0.000 0.000
Si1 0.500 0.500 0.500
I1 0.250 0.250 0.250
I2 0.750 0.750 0.750
```

Output
Total moment = 0.4129 μB/atom
Fermi-level density of states = 3.5 states/eV/f.u.
Calculated volume = 132.4 Å³/cell
Raw formation energy = -275.6 meV/atom
Polymorph energy (0 for the lowest one) = 0.0 meV/atom

***

[10]
Material: Tl2CdHgBr6
Method: DFT, PBE
State: optimized geometry

Structure (CIF):
```
data_Tl2CdHgBr6
_chemical_formula_sum 'Tl2 Cd1 Hg1 Br6'
_cell_length_a 7.089
_cell_length_b 7.924
_cell_length_c 8.319
_cell_angle_alpha 116.97
_cell_angle_beta 114.83
_cell_angle_gamma 91.48
_space_group_name_H-M_alt 'P 1'
_space_group_IT_number 1
loop_
_space_group_symop_operation_xyz
'x,y,z'
loop_
_atom_site_label
_atom_site_fract_x
_atom_site_fract_y
_atom_site_fract_z
Tl1 0.000 0.000 0.000
Tl2 0.448 0.489 0.985
Cd1 0.738 0.160 0.475
Hg1 0.198 0.642 0.472
Br1 0.008 0.543 0.642
Br2 0.073 0.046 0.649
Br3 0.427 0.307 0.523
Br4 0.550 0.815 0.525
Br5 0.581 0.946 0.073
Br6 0.931 0.434 0.061
```

Output
Total moment = 0.0000 μB/atom
Fermi-level density of states = 0.0 states/eV/f.u.
Calculated volume = 364.2 Å³/cell
Raw formation energy = -707.9 meV/atom

***

[11]
Material: PmCdHg2
Method: DFT, PBE
State: optimized geometry

Structure (CIF):
```
data_PmCdHg2
_chemical_formula_sum 'Pm1 Cd1 Hg2'
_cell_length_a 5.173
_cell_length_b 5.173
_cell_length_c 5.173
_cell_angle_alpha 60.00
_cell_angle_beta 60.00
_cell_angle_gamma 60.00
_space_group_name_H-M_alt 'P 1'
_space_group_IT_number 1
loop_
_space_group_symop_operation_xyz
'x,y,z'
loop_
_atom_site_label
_atom_site_fract_x
_atom_site_fract_y
_atom_site_fract_z
Pm1 0.000 0.000 0.000
Cd1 0.500 0.500 0.500
Hg1 0.250 0.250 0.250
Hg2 0.750 0.750 0.750
```

Output
Total moment = 0.0000 μB/atom
Fermi-level density of states = 2.4 states/eV/f.u.
Calculated volume = 97.9 Å³/cell
Polymorph energy (0 for the lowest one) = 0.0 meV/atom

***

> What is the formula in the ninth record?

SrSiI2